A geometry-optimized ZrNb3P structure, computed with PBE.

Summary:
E_tot	-7.004	eV/atom
size of the total moment	0.000	μB/atom
energy of formation	1829	meV/atom

a b c (Å): 4.902 4.902 4.902
angles (deg): 90.00 90.00 90.00
Positions (direct):
1 Zr 0.000 0.000 0.000
2 Nb 0.000 0.000 0.500
3 Nb 0.000 0.500 0.000
4 Nb 0.500 0.000 0.000
5 P 0.500 0.500 0.500

***

A geometry-optimized In5Ga6Sn2 structure, computed with PBE.

Summary:
E_tot	-2.801	eV/atom
size of the total moment	0.000	μB/atom
energy of formation	265	meV/atom

a b c (Å): 10.284 10.284 10.284
angles (deg): 43.08 43.08 43.08
Positions (direct):
1 In 0.000 0.000 0.000
2 In 0.243 0.243 0.243
3 In 0.423 0.423 0.423
4 In 0.577 0.577 0.577
5 In 0.757 0.757 0.757
6 Ga 0.168 0.500 0.832
7 Ga 0.168 0.832 0.500
8 Ga 0.500 0.168 0.832
9 Ga 0.500 0.832 0.168
10 Ga 0.832 0.168 0.500
11 Ga 0.832 0.500 0.168
12 Sn 0.105 0.105 0.105
13 Sn 0.895 0.895 0.895